Record 1
A geometry-optimized Y2NiGePt6 structure. Source: the Alexandria database, functional PBE-GGA.

Properties
Total DFT energy (no corrections) (eV per atom): -6.676
Formation energy from the elements (eV per atom): -0.719

abc: 5.418 8.773 6.365
angles: 47.68 64.80 89.93
Sites, in units of the cell vectors:
Y 0.738 0.239 0.526
Y 0.262 0.761 0.474
Ni 0.000 0.000 0.000
Ge 0.500 0.500 0.000
Pt 0.247 0.416 0.507
Pt 0.809 0.805 0.887
Pt 0.304 0.806 0.885
Pt 0.696 0.194 0.115
Pt 0.191 0.195 0.113
Pt 0.753 0.584 0.493

Record 2
A geometry-optimized NaIrO2F structure. Source: the Alexandria database, functional PBE-GGA.

Properties
Total DFT energy (no corrections) (eV per atom): -5.592

abc: 3.684 3.684 6.260
angles: 90.00 90.00 90.00
Sites, in units of the cell vectors:
Na 0.500 0.500 0.500
Ir 0.000 0.000 0.000
O 0.000 0.500 0.000
O 0.500 0.000 0.000
F 0.000 0.000 0.500

Record 3
A geometry-optimized CdAg2Br structure. Source: the Alexandria database, functional PBE-GGA.

Properties
Total DFT energy (no corrections) (eV per atom): -2.019
E above lowest polymorph (kJ per mole of atoms): 11.6

abc: 6.718 6.718 6.718
angles: 145.69 145.69 49.31
Sites, in units of the cell vectors:
Br 0.500 0.500 0.000
Ag 0.000 0.000 0.000
Ag 0.250 0.750 0.500
Cd 0.750 0.250 0.500

Record 4
A geometry-optimized Dy3Y2Tm2 structure. Source: the Alexandria database, functional PBE-GGA.

Properties
Total DFT energy (no corrections) (eV per atom): -5.073
Formation energy from the elements (eV per atom): 0.024

abc: 3.528 8.662 7.915
angles: 111.44 102.88 90.00
Sites, in units of the cell vectors:
Dy 0.000 0.000 0.000
Dy 0.286 0.857 0.573
Dy 0.714 0.143 0.427
Y 0.429 0.287 0.857
Y 0.571 0.713 0.143
Tm 0.144 0.428 0.288
Tm 0.856 0.572 0.712

Record 5
A geometry-optimized DyTlSn2Br8 structure. Source: the Alexandria database, functional PBE-GGA.

Properties
Total DFT energy (no corrections) (eV per atom): -3.490

abc: 7.237 6.847 9.090
angles: 89.91 89.90 88.82
Sites, in units of the cell vectors:
Dy 0.000 0.000 0.000
Tl 0.000 0.000 0.500
Sn 0.500 0.500 0.749
Sn 0.500 0.500 0.251
Br 0.158 0.758 0.219
Br 0.682 0.762 0.000
Br 0.842 0.242 0.218
Br 0.842 0.242 0.781
Br 0.318 0.238 0.000
Br 0.158 0.758 0.782
Br 0.632 0.726 0.499
Br 0.368 0.274 0.501

Record 6
A geometry-optimized TaNbBCl2 structure. Source: the Alexandria database, functional PBE-GGA.

Properties
Total DFT energy (no corrections) (eV per atom): -5.128

abc: 4.180 4.844 4.180
angles: 90.00 90.00 90.00
Site moments in Bohr magnetons follow the coordinates.
Sites, in units of the cell vectors:
Nb 0.000 0.500 0.000  -0.12
Cl 0.000 0.000 0.500  -0.01
Cl 0.500 0.000 0.000  -0.01
B 0.000 0.000 0.000  0.01
Ta 0.500 0.500 0.500  0.64

Record 7
A geometry-optimized Cs2HgAuCl6 structure. Source: the Alexandria database, functional PBE-GGA.

Properties
Total DFT energy (no corrections) (eV per atom): -2.724

abc: 7.661 7.661 7.781
angles: 60.50 60.51 90.00
Site moments in Bohr magnetons follow the coordinates.
Sites, in units of the cell vectors:
Cs 0.750 0.250 0.500  0.00
Cs 0.250 0.750 0.500  0.00
Hg 0.000 0.000 0.000  0.03
Au 0.500 0.500 0.000  0.24
Cl 0.215 0.215 0.570  0.02
Cl 0.727 0.726 0.000  0.06
Cl 0.274 0.726 0.000  0.06
Cl 0.726 0.274 0.000  0.06
Cl 0.273 0.274 0.000  0.06
Cl 0.785 0.785 0.430  0.02

Record 8
A geometry-optimized SrHgH2 structure. Source: the Alexandria database, functional PBE-GGA.

Properties
Total DFT energy (no corrections) (eV per atom): -2.375
E above lowest polymorph (kJ per mole of atoms): 7.0

abc: 4.577 4.577 4.577
angles: 60.00 60.00 60.00
Sites, in units of the cell vectors:
Sr 0.000 0.000 0.000
Hg 0.500 0.500 0.500
H 0.250 0.250 0.250
H 0.750 0.750 0.750

Record 9
A geometry-optimized LaNd7Sm5 structure. Source: the Alexandria database, functional PBE-GGA.

Properties
Total DFT energy (no corrections) (eV per atom): -4.549
Formation energy from the elements (eV per atom): 0.212

abc: 6.807 8.955 8.955
angles: 80.03 67.66 67.66
Sites, in units of the cell vectors:
La 0.035 0.965 0.965
Nd 0.731 0.269 0.269
Nd 0.424 0.576 0.576
Nd 0.981 0.351 0.688
Nd 0.981 0.688 0.351
Nd 0.230 0.270 0.270
Nd 0.481 0.848 0.191
Nd 0.481 0.191 0.848
Sm 0.466 0.000 0.535
Sm 0.998 0.000 0.535
Sm 0.466 0.535 0.000
Sm 0.998 0.535 0.000
Sm 0.729 0.771 0.771

Record 10
A geometry-optimized HoFe2GeC structure. Source: the Alexandria database, functional PBE-GGA.

Properties
Total DFT energy (no corrections) (eV per atom): -7.482
Formation energy from the elements (eV per atom): -0.413

abc: 3.785 5.590 6.869
angles: 90.00 90.00 109.79
Site moments in Bohr magnetons follow the coordinates.
Sites, in units of the cell vectors:
Ho 0.452 0.903 0.750  -0.03
Ho 0.548 0.097 0.250  -0.03
Fe 0.163 0.326 0.938  0.42
Fe 0.837 0.674 0.062  0.42
Fe 0.163 0.326 0.562  0.42
Fe 0.837 0.674 0.438  0.42
Ge 0.731 0.463 0.750  -0.02
Ge 0.269 0.537 0.250  -0.02
C 0.000 0.000 0.000  -0.03
C 0.000 0.000 0.500  -0.03

Record 11
A geometry-optimized TaInAg structure. Source: the Alexandria database, functional PBE-GGA.

Properties
Total DFT energy (no corrections) (eV per atom): -5.712
Formation energy from the elements (eV per atom): 0.102

abc: 3.505 3.505 9.517
angles: 90.00 90.00 90.00
Sites, in units of the cell vectors:
Ta 0.000 0.500 0.566
Ta 0.500 0.000 0.434
In 0.000 0.500 0.248
In 0.500 0.000 0.752
Ag 0.500 0.000 0.087
Ag 0.000 0.500 0.913

Record 12
A geometry-optimized RbReSn2Pd structure. Source: the Alexandria database, functional PBE-GGA.

Properties
Total DFT energy (no corrections) (eV per atom): -2.711
Formation energy from the elements (eV per atom): 2.612

abc: 5.762 4.985 5.762
angles: 90.00 90.00 90.00
Site moments in Bohr magnetons follow the coordinates.
Sites, in units of the cell vectors:
Re 0.000 0.500 0.000  2.01
Rb 0.000 0.000 0.000  -0.06
Sn 0.000 0.000 0.500  -0.09
Sn 0.500 0.000 0.000  -0.15
Pd 0.500 0.500 0.500  0.04